Material: Ac3SiAs2Pd9
Method: DFT, PBE-GGA
State: relaxed

Calculated values
* symmetry: No. 164
* energy: -5.632 eV/atom
* M_tot: 0.000 μB/atom

a b c (Å): 6.7069 6.7069 8.4352
angles (deg): 90.00 90.00 120.00
With the nearest neighbours (Å) after each atom.
Fractional coordinates of all 15 atoms:
1 Ac 0.3333 0.6667 0.6561  12 Pd 3.38-3.72
2 Ac 0.0000 0.0000 0.0000  12 Pd 3.04-3.35
3 Ac 0.6667 0.3333 0.3439  12 Pd 3.38-3.72
4 Si 0.0000 0.0000 0.5000  6 Pd 2.37
5 As 0.3333 0.6667 0.1859  6 Pd 2.40-2.49
6 As 0.6667 0.3333 0.8141  6 Pd 2.40-2.49
7 Pd 0.8560 0.1440 0.6989  1 Si 2.37, 1 As 2.40
8 Pd 0.8560 0.7120 0.6989  1 Si 2.37, 1 As 2.40
9 Pd 0.2880 0.1440 0.6989  1 Si 2.37, 1 As 2.40
10 Pd 0.7120 0.8560 0.3011  1 Si 2.37, 1 As 2.40
11 Pd 0.1440 0.2880 0.3011  1 Si 2.37, 1 As 2.40
12 Pd 0.1440 0.8560 0.3011  1 Si 2.37, 1 As 2.40
13 Pd 0.5000 0.0000 0.0000  2 As 2.49
14 Pd 0.0000 0.5000 0.0000  2 As 2.49
15 Pd 0.5000 0.5000 0.0000  2 As 2.49

=====

Material: KMg2In
Method: DFT, PBE-GGA
State: relaxed

Calculated values
* symmetry: No. 10
* energy: -1.675 eV/atom
* M_tot: 0.000 μB/atom
* energy of formation from the pure elements: 0.08 eV per atom

a b c (Å): 5.1239 3.4145 7.1446
angles (deg): 78.74 90.00 90.00
With the nearest neighbours (Å) after each atom.
Fractional coordinates of all 4 atoms:
1 In 0.5000 0.2500 0.2500  4 Mg 3.03
2 K 0.5000 0.7500 0.7500  2 K 3.41, 2 In 3.65, 4 Mg 3.67
3 Mg 0.0000 0.0637 0.0575  2 In 3.03, 2 Mg 3.14-3.25
4 Mg 0.0000 0.4363 0.4425  2 In 3.03, 2 Mg 3.14-3.25

=====

Material: NiOsPd2
Method: DFT, PBE-GGA
State: relaxed

Calculated values
* symmetry: No. 122
* energy: -6.055 eV/atom
* M_tot: 0.418 μB/atom
* energy of formation from the pure elements: 0.79 eV per atom

a b c (Å): 6.8783 6.8783 5.5189
angles (deg): 51.45 51.45 90.00
With the nearest neighbours (Å) after each atom.
Fractional coordinates of all 8 atoms:
1 Ni 0.5000 0.5000 0.0000  4 Pd 2.47, 2 Os 2.61
2 Ni 0.2500 0.7500 0.5000  4 Pd 2.47, 2 Os 2.61
3 Os 0.0000 0.0000 0.0000  4 Pd 2.57, 2 Ni 2.61
4 Os 0.7500 0.2500 0.5000  4 Pd 2.57, 2 Ni 2.61
5 Pd 0.6139 0.1250 0.2500  2 Ni 2.47, 2 Os 2.57, 2 Pd 2.61
6 Pd 0.1361 0.6250 0.2500  2 Ni 2.47, 2 Os 2.57, 2 Pd 2.61
7 Pd 0.3750 0.3861 0.7500  2 Ni 2.47, 2 Os 2.57, 2 Pd 2.61
8 Pd 0.8750 0.8639 0.7500  2 Ni 2.47, 2 Os 2.57, 2 Pd 2.61

=====

Material: BaCo2Tc
Method: DFT, PBE-GGA
State: relaxed

Calculated values
* symmetry: No. 225
* energy: -5.522 eV/atom
* M_tot: 1.245 μB/atom
* energy of formation from the pure elements: 1.10 eV per atom
* offset from the most stable computed form: 289.7 kJ/mol of formula units

a b c (Å): 4.7039 4.7039 4.7039
angles (deg): 60.00 60.00 60.00
With the nearest neighbours (Å) after each atom.
Fractional coordinates of all 4 atoms:
1 Co 0.2500 0.2500 0.2500  4 Ba 2.88, 4 Tc 2.88
2 Co 0.7500 0.7500 0.7500  4 Ba 2.88, 4 Tc 2.88
3 Ba 0.5000 0.5000 0.5000  8 Co 2.88
4 Tc 0.0000 0.0000 0.0000  8 Co 2.88

=====

Material: Li2FeCu
Method: DFT, PBE-GGA
State: relaxed

Calculated values
* symmetry: No. 44
* energy: -3.844 eV/atom
* M_tot: 0.609 μB/atom
* energy of formation from the pure elements: 0.25 eV per atom

a b c (Å): 5.2212 5.2212 5.2212
angles (deg): 151.65 128.67 59.68
With the nearest neighbours (Å) after each atom.
Fractional coordinates of all 4 atoms:
1 Cu 0.4975 0.4975 0.0000  2 Fe 2.48, 6 Li 2.53-2.60, 2 Cu 2.56
2 Fe 0.2625 0.7625 0.5000  2 Cu 2.48, 2 Fe 2.56, 6 Li 2.61-2.69
3 Li 0.0013 0.0013 0.0000  4 Li 2.56-2.70, 4 Cu 2.60, 2 Fe 2.69
4 Li 0.7387 0.2387 0.5000  2 Cu 2.53, 4 Li 2.56-2.70, 4 Fe 2.61

=====

Material: AgTeCN2
Method: DFT, PBE-GGA
State: relaxed

Calculated values
* symmetry: No. 123
* energy: -4.002 eV/atom
* M_tot: 0.567 μB/atom
* offset from the most stable computed form: 0.0 kJ/mol of formula units

a b c (Å): 3.8435 3.8435 4.7412
angles (deg): 90.00 90.00 90.00
With the nearest neighbours (Å) after each atom.
Fractional coordinates of all 5 atoms:
1 C 0.0000 0.0000 0.0000  4 N 1.92
2 Te 0.0000 0.0000 0.5000  2 C 2.37
3 Ag 0.5000 0.5000 0.5000  4 Te 2.72
4 N 0.0000 0.5000 0.0000  2 C 1.92
5 N 0.5000 0.0000 0.0000  2 C 1.92

=====

Number 1: DOS(E_F) 5.12 states/eV/f.u.. Number 2: DOS(E_F) 1.26 states/eV/f.u.. Number 3: DOS(E_F) 5.28 states/eV/f.u.. Number 4: DOS(E_F) 4.02 states/eV/f.u.. Number 5: DOS(E_F) 3.31 states/eV/f.u.. Number 6: DOS(E_F) 1.67 states/eV/f.u..